(1)
DFT (PBE) results for a relaxed SbTe2AsRu crystal.

Geometry as POSCAR:
```
SbTe2AsRu
1.0
-3.4151 -2.3680 3.0941
-1.5025 -2.9959 -3.9512
3.5285 -3.4369 1.2642
As Ru Sb Te
1 1 1 2
Cartesian
-0.6945 -4.4004 0.2036
0.0000 0.0000 0.0000
1.7643 -1.7185 0.6321
-1.7076 -1.1840 1.5471
-0.7512 -1.4979 -1.9756
```

Computed properties:
E above lowest polymorph = 0.000 eV per atom
Size of the total moment = 0.0 μB per formula unit
Electronic total energy = -4.25 eV per atom

(2)
DFT (PBE) results for a relaxed P2OsSe crystal.

Geometry as POSCAR:
```
P2OsSe
1.0
2.8742 -0.0001 -0.0002
-0.0001 4.8506 0.0196
-1.3915 -2.0952 5.9078
P Se Os
2 1 1
Cartesian
0.8994 -0.4564 3.5263
0.8992 1.2561 2.0932
0.8992 1.3355 5.2940
-0.5375 2.5623 3.5595
```

Computed properties:
Size of the total moment = 0.0 μB per formula unit
Electronic total energy = -6.21 eV per atom

(3)
DFT (PBE) results for a relaxed Mg16Al13 crystal.

Geometry as POSCAR:
```
Mg16Al13
1.0
-1.5711 8.9222 -0.9004
-0.9609 -2.4065 8.7275
5.9306 4.6021 5.0392
Mg Al
16 13
Cartesian
2.0572 8.1686 5.8778
3.4742 1.7093 8.6720
-2.5243 6.5141 7.8248
2.2485 4.6184 8.8950
0.5094 6.8214 3.5024
0.4935 9.9967 3.8786
3.8567 3.0202 3.3093
3.1090 8.4888 2.9104
-0.5309 3.0888 -0.2997
2.4877 7.7513 8.9629
-1.0589 1.4325 4.9425
-1.2282 4.5752 2.2716
-0.3203 -0.8205 3.0227
0.7478 2.3959 7.2635
0.3964 5.7828 6.7792
0.9102 2.2597 10.4540
2.9931 5.7428 4.4452
0.0885 6.4942 0.3758
0.8879 8.9593 1.1103
0.8295 3.8790 4.5116
3.7296 3.4514 11.0832
4.1208 8.3010 11.5824
4.0106 10.3466 9.8439
0.6408 2.0735 2.3992
1.3855 -0.2779 8.9606
3.3443 10.6029 5.0054
3.9434 6.1625 7.0012
0.4738 -0.6587 6.4549
3.1057 3.6517 6.2223
```

Computed properties:
E above lowest polymorph = 0.000 eV per atom
Energy of formation = -0.028 eV/atom
Size of the total moment = 0.0 μB per formula unit
Electronic total energy = -2.59 eV per atom

(4)
DFT (PBE) results for a relaxed K2Zn2Ni crystal.

Geometry as POSCAR:
```
K2Zn2Ni
1.0
-3.2817 3.2817 3.5894
3.2817 -3.2817 3.5894
3.2817 3.2817 -3.5894
K Zn Ni
2 2 1
Cartesian
3.2817 0.0000 1.7947
0.0000 3.2817 1.7947
0.0000 0.0000 2.3469
0.0000 0.0000 4.8319
0.0000 0.0000 0.0000
```

Computed properties:
E above lowest polymorph = 0.114 eV per atom
Energy of formation = 0.376 eV/atom
Size of the total moment = 0.0 μB per formula unit
Electronic total energy = -1.73 eV per atom

(5)
DFT (PBE) results for a relaxed TaCoPd crystal.

Geometry as POSCAR:
```
TaCoPd
1.0
-0.8949 0.0317 3.0086
6.2477 -11.3745 1.9783
3.5072 2.1040 1.0211
Co Ta Pd
4 4 4
Cartesian
6.1265 -4.7869 1.8728
3.6285 -4.4836 1.1265
6.3049 -10.1550 3.6200
2.5551 0.9162 2.3880
4.7320 -3.0469 3.0772
1.4516 -0.5204 0.4373
4.1280 -6.1918 2.9307
8.3033 -8.7500 2.5621
5.6891 -8.2351 1.7790
4.0659 -1.0354 1.2203
6.7423 -6.7068 3.7138
2.1177 -2.5320 2.2942
```

Computed properties:
E above lowest polymorph = 0.000 eV per atom
Energy of formation = -0.334 eV/atom
Size of the total moment = 0.0 μB per formula unit
Electronic total energy = -8.38 eV per atom

(6)
DFT (PBE) results for a relaxed CaPm6Dy3Tm2 crystal.

Geometry as POSCAR:
```
CaPm6Dy3Tm2
1.0
6.2703 0.0006 0.0116
-3.1331 5.4314 0.0116
-1.0607 -1.8366 11.6608
Pm Tm Dy Ca
6 2 3 1
Cartesian
-0.0591 3.5993 8.7429
2.1356 -0.0039 2.9411
-1.0706 1.8478 2.9411
3.1471 1.7476 8.7429
2.0650 3.5756 2.9617
0.0115 0.0198 8.7223
3.1350 1.8113 0.0116
0.0022 3.6207 0.0116
-2.0973 3.6086 5.8420
4.1738 -0.0132 5.8420
1.0382 1.7977 5.8420
0.0000 0.0000 0.0000
```

Computed properties:
Energy of formation = 0.038 eV/atom
Size of the total moment = 0.0 μB per formula unit
Electronic total energy = -4.40 eV per atom

(7)
DFT (PBE) results for a relaxed AlFeCo2B crystal.

Geometry as POSCAR:
```
AlFeCo2B
1.0
-2.5455 1.9768 -1.9710
-2.6497 -0.8715 2.5479
0.8816 3.1100 1.9807
Co B Fe Al
2 1 1 1
Cartesian
-1.3248 -0.4358 1.2739
-1.2727 0.9884 -0.9855
0.0000 0.0000 0.0000
0.4408 1.5550 0.9903
-2.1568 2.1077 1.2788
```

Computed properties:
Energy of formation = -0.209 eV/atom
Size of the total moment = 2.1 μB per formula unit
Electronic total energy = -6.83 eV per atom

(8)
DFT (PBE) results for a relaxed CaCu2Ni crystal.

Geometry as POSCAR:
```
CaCu2Ni
1.0
4.8598 0.0000 1.5449
2.1843 4.3412 1.5449
-0.1372 -0.0846 8.8477
Cu Ni Ca
6 3 3
Cartesian
2.9281 1.8046 3.4319
5.3472 1.8046 4.2010
2.8914 0.2911 7.7366
4.0154 3.9656 4.2010
1.5596 2.4521 7.7366
3.9787 2.4521 8.5056
3.4534 2.1283 5.9688
2.3404 1.4424 1.0540
4.5665 2.8143 10.8836
0.0000 0.0000 0.0000
0.9157 0.5643 5.5357
5.9912 3.6923 6.4019
```

Computed properties:
E above lowest polymorph = 0.000 eV per atom
Energy of formation = -0.139 eV/atom
Size of the total moment = 0.0 μB per formula unit
Electronic total energy = -4.13 eV per atom

(9)
DFT (PBE) results for a relaxed LiSmY2Pd4 crystal.

Geometry as POSCAR:
```
LiSmY2Pd4
1.0
4.9087 0.0000 0.0000
2.4544 4.2511 0.0000
2.4544 1.4170 7.9230
Y Pd Li Sm
2 4 1 1
Cartesian
2.4544 1.4170 2.1832
7.3631 4.2511 5.7398
2.4544 1.4170 5.0369
4.9087 2.8340 6.8819
7.3631 4.2511 2.8861
4.9087 2.8340 1.0410
4.9087 2.8340 3.9615
0.0000 0.0000 0.0000
```

Computed properties:
Energy of formation = -0.752 eV/atom
Size of the total moment = 0.0 μB per formula unit
Electronic total energy = -5.79 eV per atom

(10)
DFT (PBE) results for a relaxed GaSn6Hg crystal.

Geometry as POSCAR:
```
GaSn6Hg
1.0
4.5987 0.0000 0.0000
0.0000 4.5987 0.0000
0.0000 0.0000 10.0394
Sn Hg Ga
6 1 1
Cartesian
2.2993 0.0000 2.5897
2.2993 2.2993 0.0000
0.0000 2.2993 7.4497
2.2993 0.0000 7.4497
0.0000 2.2993 2.5897
2.2993 2.2993 5.0197
0.0000 0.0000 0.0000
0.0000 0.0000 5.0197
```

Computed properties:
Energy of formation = 0.065 eV/atom
Size of the total moment = 0.0 μB per formula unit
Electronic total energy = -3.35 eV per atom

(11)
DFT (PBE) results for a relaxed TaHPb3 crystal.

Geometry as POSCAR:
```
TaHPb3
1.0
-0.2187 1.5653 -5.2705
-5.1413 -1.9273 -0.3591
-1.9482 4.9104 1.5392
Pb Ta H
3 1 1
Cartesian
-2.5707 -0.9636 -0.1795
-0.9741 2.4552 0.7696
-0.1093 0.7827 -2.6353
0.0000 0.0000 0.0000
-3.6541 2.2742 -2.0452
```

Computed properties:
E above lowest polymorph = 0.076 eV per atom
Size of the total moment = 0.7 μB per formula unit
Electronic total energy = -4.41 eV per atom

(12)
DFT (PBE) results for a relaxed TmHf2N crystal.

Geometry as POSCAR:
```
TmHf2N
1.0
-1.8475 1.3861 2.2353
-2.8677 -1.2596 0.7218
2.1660 -4.9301 7.1585
Hf N Tm
2 1 1
Cartesian
-3.3764 -1.6544 5.1681
0.8272 -3.1491 4.9475
-1.2746 -2.4018 5.0578
0.0000 0.0000 0.0000
```

Computed properties:
Size of the total moment = 0.0 μB per formula unit
Electronic total energy = -8.83 eV per atom

What is the electronic total energy in the sixth record? -4.40 eV per atom